An optimized crystal structure of Ac2NdPt9, computed with PBE.

Unit cell a=5.5329 b=5.5329 c=9.6512 alpha=73.34 beta=73.34 gamma=60.00
Last column: nearest neighbours and their distance in Å.
Positions (direct):
Pt  0.4163  0.4163  0.2476  7 Pt 2.74-2.81
Pt  0.9199  0.4163  0.2476  7 Pt 2.74-2.81
Pt  0.5837  0.0801  0.7524  7 Pt 2.74-2.81
Pt  0.6673  0.6673  0.9980  6 Pt 2.74-2.78
Pt  0.5000  0.5000  0.5000  6 Pt 2.81
Pt  0.0801  0.5837  0.7524  7 Pt 2.74-2.81
Pt  0.4163  0.9199  0.2476  7 Pt 2.74-2.81
Pt  0.3327  0.3327  0.0020  6 Pt 2.74-2.78
Pt  0.5837  0.5837  0.7524  7 Pt 2.74-2.81
Ac  0.1385  0.1385  0.5846  12 Pt 3.16-3.45
Ac  0.8615  0.8615  0.4154  12 Pt 3.16-3.45
Nd  0.0000  0.0000  0.0000  18 Pt 3.19-3.57

spin magnetization = 0.00 μB/f.u.
space group = R-3m
energy relative to the elements = -10.6 eV/f.u.
volume = 241 Å³/cell
N(E_F) = 10.4 states/eV per cell
VASP energy = -6.499 eV per atom
theoretical density = 16.189 g/cm³